1.
Below is a relaxed MnRuRh2 crystal, with properties calculated at the GGA-PBE level.

The space group is I-42d (No. 122) and the conventional cell measures 5.3493, 5.3493 and 10.7774 Å, with angles of 90.00, 90.00 and 90.00 degrees. The asymmetric unit holds Mn at (0.0000, 0.0000, 0.0000), Ru at (0.0000, 0.0000, 0.5000) and Rh at (0.2288, 0.2500, 0.1250).

The formation energy is 1.080 eV/atom. The calculation puts the total magnetic moment at 0.00 μB/atom.

2.
Below is a relaxed Mn6RuRh crystal, with properties calculated at the GGA-PBE level.

The space group is Cmmm (No. 65) and the conventional cell measures 7.3159, 7.3830 and 3.7074 Å, with angles of 90.00, 90.00 and 90.00 degrees. The asymmetric unit holds Mn at (0.0000, 0.2494, 0.0000), Mn at (0.2476, 0.5000, 0.0000), Mn at (0.2500, 0.2500, 0.5000), Ru at (0.0000, 0.5000, 0.5000) and Rh at (0.0000, 0.0000, 0.5000).

The formation energy is -0.053 eV/atom. The calculation puts the total magnetic moment at 0.41 μB/atom.

3.
Below is a relaxed MnRuRh2 crystal, with properties calculated at the GGA-PBE level.

The space group is Cmmm (No. 65) and the conventional cell measures 5.3771, 7.5350 and 2.7240 Å, with angles of 90.00, 90.00 and 90.00 degrees. The asymmetric unit holds Mn at (0.0000, 0.0000, 0.0000), Ru at (0.0000, 0.5000, 0.0000) and Rh at (0.2500, 0.2500, 0.5000).

The formation energy is -0.029 eV/atom. The calculation puts the total magnetic moment at 0.64 μB/atom.

4.
Below is a relaxed Mn2RuRh crystal, with properties calculated at the GGA-PBE level.

The space group is Amm2 (No. 38) and the conventional cell measures 3.9645, 2.6506 and 9.5096 Å, with angles of 90.00, 90.00 and 90.00 degrees. The asymmetric unit holds Mn at (0.0000, 0.0000, 0.0000), Mn at (0.5000, 0.0000, 0.1197), Ru at (0.5000, 0.0000, 0.3926) and Rh at (0.0000, 0.0000, 0.7313).

The formation energy is 0.008 eV/atom. The calculation puts the total magnetic moment at 0.00 μB/atom.

5.
Below is a relaxed Mn2RuRh crystal, with properties calculated at the GGA-PBE level.

The space group is Pmm2 (No. 25) and the conventional cell measures 2.6927, 3.7380 and 5.2847 Å, with angles of 90.00, 90.00 and 90.00 degrees. The asymmetric unit holds Mn at (0.0000, 0.0000, 0.0000), Mn at (0.5000, 0.5000, 0.2472), Ru at (0.5000, 0.5000, 0.7563) and Rh at (0.0000, 0.0000, 0.4977).

The formation energy is -0.007 eV/atom. The calculation puts the total magnetic moment at 0.11 μB/atom.

6.
Below is a relaxed MnRuRh2 crystal, with properties calculated at the GGA-PBE level.

The space group is R3m (No. 160, hexagonal axes) and the conventional cell measures 2.6849, 2.6849 and 25.8354 Å, with angles of 90.00, 90.00 and 120.00 degrees. The asymmetric unit holds Mn at (0.0000, 0.0000, 0.0000), Ru at (0.0000, 0.0000, 0.7455), Rh at (0.0000, 0.0000, 0.2541) and Rh at (0.0000, 0.0000, 0.4986).

The formation energy is 0.084 eV/atom. The calculation puts the total magnetic moment at 0.15 μB/atom.